Density functional theory data (meta-GGA SCAN) for MgMo2Pb at its PBEsol-relaxed geometry.

The total energy is -36.81 eV per atom. The calculated volume is 73.7 Å³/cell. As for the energy of formation from the pure elements: 820.7 meV per atom.

Cell lengths 2.8375, 2.8375, 9.1529 Å; angles 90.00, 90.00, 90.00 degrees
Atoms (fractional coordinates):
Mg (0.0000, 0.0000, 0.0000)
Mo (0.5000, 0.5000, 0.2411)
Mo (0.5000, 0.5000, 0.7589)
Pb (0.0000, 0.0000, 0.5000)

***

Density functional theory data (meta-GGA SCAN) for LaTlFe at its PBEsol-relaxed geometry.

The total energy is -43.82 eV per atom. The calculated volume is 347.3 Å³/cell. As for the energy of formation from the pure elements: 713.7 meV per atom.

Cell lengths 7.0292, 7.0292, 7.0292 Å; angles 90.00, 90.00, 90.00 degrees
Atoms (fractional coordinates):
La (0.0000, 0.0000, 0.0000)
La (0.0000, 0.5000, 0.5000)
La (0.5000, 0.0000, 0.5000)
La (0.5000, 0.5000, 0.0000)
Tl (0.2500, 0.2500, 0.7500)
Tl (0.2500, 0.7500, 0.2500)
Tl (0.7500, 0.2500, 0.2500)
Tl (0.7500, 0.7500, 0.7500)
Fe (0.2500, 0.2500, 0.2500)
Fe (0.2500, 0.7500, 0.7500)
Fe (0.7500, 0.2500, 0.7500)
Fe (0.7500, 0.7500, 0.2500)

***

Density functional theory data (meta-GGA SCAN) for GaTePt2 at its PBEsol-relaxed geometry.

The total energy is -48.49 eV per atom. The calculated volume is 277.8 Å³/cell. For the formation energy (no corrections), the calculation gives 0.011 eV per atom.

Cell lengths 6.5250, 6.5250, 6.5250 Å; angles 90.00, 90.00, 90.00 degrees
Atoms (fractional coordinates):
Ga (0.0000, 0.0000, 0.0000)
Ga (0.0000, 0.5000, 0.5000)
Ga (0.5000, 0.0000, 0.5000)
Ga (0.5000, 0.5000, 0.0000)
Te (0.0000, 0.0000, 0.5000)
Te (0.0000, 0.5000, 0.0000)
Te (0.5000, 0.0000, 0.0000)
Te (0.5000, 0.5000, 0.5000)
Pt (0.2500, 0.2500, 0.2500)
Pt (0.2500, 0.2500, 0.7500)
Pt (0.2500, 0.7500, 0.2500)
Pt (0.2500, 0.7500, 0.7500)
Pt (0.7500, 0.2500, 0.2500)
Pt (0.7500, 0.2500, 0.7500)
Pt (0.7500, 0.7500, 0.2500)
Pt (0.7500, 0.7500, 0.7500)

***

Density functional theory data (meta-GGA SCAN) for VZnAs2O7 at its PBEsol-relaxed geometry.

The total energy is -12.14 eV per atom. The calculated volume is 563.2 Å³/cell. For the formation energy (no corrections), the calculation gives -1.688 eV per atom.

Cell lengths 7.8264, 7.8692, 10.8340 Å; angles 90.00, 122.42, 90.00 degrees
Atoms (fractional coordinates):
V (0.1932, 0.0601, 0.2937)
V (0.1932, 0.4399, 0.7937)
V (0.8068, 0.5601, 0.2063)
V (0.8068, 0.9399, 0.7063)
Zn (0.2620, 0.0518, 0.8972)
Zn (0.2620, 0.4482, 0.3972)
Zn (0.7380, 0.5518, 0.6028)
Zn (0.7380, 0.9482, 0.1028)
As (0.0374, 0.6977, 0.9686)
As (0.0374, 0.8023, 0.4686)
As (0.4631, 0.7097, 0.2670)
As (0.4631, 0.7903, 0.7670)
As (0.5369, 0.2097, 0.2330)
As (0.5369, 0.2903, 0.7330)
As (0.9626, 0.1977, 0.5314)
As (0.9626, 0.3023, 0.0314)
O (0.0084, 0.5730, 0.8204)
O (0.0084, 0.9270, 0.3204)
O (0.0511, 0.5988, 0.3891)
O (0.0511, 0.9012, 0.8891)
O (0.2529, 0.2013, 0.4246)
O (0.2529, 0.2987, 0.9246)
O (0.3002, 0.2233, 0.2033)
O (0.3002, 0.2767, 0.7033)
O (0.3193, 0.6608, 0.0813)
O (0.3193, 0.8392, 0.5813)
O (0.3565, 0.6138, 0.7899)
O (0.3565, 0.8862, 0.2899)
O (0.4751, 0.5479, 0.3773)
O (0.4751, 0.9521, 0.8773)
O (0.5249, 0.0479, 0.1227)
O (0.5249, 0.4521, 0.6227)
O (0.6435, 0.1138, 0.7101)
O (0.6435, 0.3862, 0.2101)
O (0.6807, 0.1608, 0.4187)
O (0.6807, 0.3392, 0.9187)
O (0.6998, 0.7233, 0.2967)
O (0.6998, 0.7767, 0.7967)
O (0.7471, 0.7013, 0.0754)
O (0.7471, 0.7987, 0.5754)
O (0.9489, 0.0988, 0.1109)
O (0.9489, 0.4012, 0.6109)
O (0.9916, 0.0730, 0.6796)
O (0.9916, 0.4270, 0.1796)

***

Density functional theory data (meta-GGA SCAN) for YTeCl3 at its PBEsol-relaxed geometry.

The total energy is -19.32 eV per atom. The calculated volume is 144.5 Å³/cell. For the formation energy (no corrections), the calculation gives -1.514 eV per atom.

Cell lengths 5.2479, 5.2479, 5.2479 Å; angles 90.00, 90.00, 90.00 degrees
Atoms (fractional coordinates):
Y (0.0000, 0.0000, 0.0000)
Te (0.5000, 0.5000, 0.5000)
Cl (0.0000, 0.0000, 0.5000)
Cl (0.0000, 0.5000, 0.0000)
Cl (0.5000, 0.0000, 0.0000)

***

Density functional theory data (meta-GGA SCAN) for TaCuAu at its PBEsol-relaxed geometry.

The total energy is -50.42 eV per atom. The calculated volume is 45.3 Å³/cell. As for the energy of formation from the pure elements: -111.5 meV per atom.

Cell lengths 4.4082, 4.4082, 2.6896 Å; angles 90.00, 90.00, 120.00 degrees
Atoms (fractional coordinates):
Ta (0.0000, 0.0000, 0.0000)
Cu (0.6667, 0.3333, 0.5000)
Au (0.3333, 0.6667, 0.5000)

***

Density functional theory data (meta-GGA SCAN) for K3CuPCO7 at its PBEsol-relaxed geometry.

The total energy is -10.02 eV per atom. The calculated volume is 391.7 Å³/cell. For the formation energy (no corrections), the calculation gives -1.995 eV per atom.

Cell lengths 5.3496, 7.9518, 9.2089 Å; angles 90.00, 90.55, 90.00 degrees
Atoms (fractional coordinates):
K (0.2356, 0.2500, 0.0655)
K (0.2557, 0.5076, 0.6931)
K (0.2557, 0.9924, 0.6931)
K (0.7443, 0.0076, 0.3069)
K (0.7443, 0.4924, 0.3069)
K (0.7644, 0.7500, 0.9345)
Cu (0.2388, 0.7500, 0.3620)
Cu (0.7612, 0.2500, 0.6380)
P (0.2656, 0.2500, 0.4091)
P (0.7344, 0.7500, 0.5909)
C (0.2629, 0.7500, 0.1015)
C (0.7371, 0.2500, 0.8985)
O (0.0536, 0.7500, 0.1735)
O (0.0776, 0.2500, 0.5373)
O (0.2367, 0.0900, 0.3161)
O (0.2367, 0.4100, 0.3161)
O (0.2709, 0.7500, 0.9640)
O (0.4623, 0.7500, 0.5234)
O (0.4627, 0.7500, 0.1851)
O (0.5373, 0.2500, 0.8149)
O (0.5377, 0.2500, 0.4766)
O (0.7291, 0.2500, 0.0360)
O (0.7633, 0.5900, 0.6839)
O (0.7633, 0.9100, 0.6839)
O (0.9224, 0.7500, 0.4627)
O (0.9464, 0.2500, 0.8265)

***

Density functional theory data (meta-GGA SCAN) for SrPbSe2 at its PBEsol-relaxed geometry.

The total energy is -36.01 eV per atom. The calculated volume is 116.2 Å³/cell. For the formation energy (no corrections), the calculation gives -1.460 eV per atom.

Cell lengths 4.3464, 4.3464, 6.1497 Å; angles 90.00, 90.00, 90.00 degrees
Atoms (fractional coordinates):
Sr (0.0000, 0.0000, 0.0000)
Pb (0.5000, 0.5000, 0.5000)
Se (0.0000, 0.0000, 0.5000)
Se (0.5000, 0.5000, 0.0000)

***

Density functional theory data (meta-GGA SCAN) for TlNiTe2 at its PBEsol-relaxed geometry.

The total energy is -40.67 eV per atom. The calculated volume is 97.5 Å³/cell. For the formation energy (no corrections), the calculation gives 0.088 eV per atom.

Cell lengths 3.1871, 3.1871, 9.6001 Å; angles 90.00, 90.00, 90.00 degrees
Atoms (fractional coordinates):
Tl (0.0000, 0.0000, 0.0000)
Ni (0.5000, 0.5000, 0.2359)
Te (0.0000, 0.0000, 0.3589)
Te (0.5000, 0.5000, 0.6952)

***

Density functional theory data (meta-GGA SCAN) for SrHgOs2 at its PBEsol-relaxed geometry.

The total energy is -57.91 eV per atom. The calculated volume is 169.8 Å³/cell. As for the energy of formation from the pure elements: 636.2 meV per atom.

Cell lengths 4.1536, 5.1577, 7.9244 Å; angles 90.00, 90.00, 90.00 degrees
Atoms (fractional coordinates):
Sr (0.0000, 0.0000, 0.0000)
Sr (0.5000, 0.5000, 0.5000)
Hg (0.0000, 0.5000, 0.7881)
Hg (0.5000, 0.0000, 0.2881)
Os (0.0000, 0.0000, 0.5580)
Os (0.0000, 0.5000, 0.2026)
Os (0.5000, 0.0000, 0.7026)
Os (0.5000, 0.5000, 0.0580)

***

Density functional theory data (meta-GGA SCAN) for AlReHg2 at its PBEsol-relaxed geometry.

The total energy is -53.35 eV per atom. The calculated volume is 72.3 Å³/cell. As for the energy of formation from the pure elements: 441.5 meV per atom.

Cell lengths 2.7844, 3.9853, 6.5198 Å; angles 90.00, 90.00, 90.00 degrees
Atoms (fractional coordinates):
Al (0.0000, 0.0000, 0.0000)
Re (0.5000, 0.5000, 0.8578)
Hg (0.0000, 0.0000, 0.5752)
Hg (0.5000, 0.5000, 0.2955)

***

Density functional theory data (meta-GGA SCAN) for MnIrBr2 at its PBEsol-relaxed geometry.

The total energy is -31.13 eV per atom. The calculated volume is 284.7 Å³/cell. For the formation energy (no corrections), the calculation gives 0.935 eV per atom.

Cell lengths 6.5786, 6.5786, 6.5786 Å; angles 90.00, 90.00, 90.00 degrees
Atoms (fractional coordinates):
Mn (0.0000, 0.0000, 0.0000)
Mn (0.0000, 0.5000, 0.5000)
Mn (0.5000, 0.0000, 0.5000)
Mn (0.5000, 0.5000, 0.0000)
Ir (0.2500, 0.2500, 0.7500)
Ir (0.2500, 0.7500, 0.2500)
Ir (0.7500, 0.2500, 0.2500)
Ir (0.7500, 0.7500, 0.7500)
Br (0.0000, 0.0000, 0.5000)
Br (0.0000, 0.5000, 0.0000)
Br (0.2500, 0.2500, 0.2500)
Br (0.2500, 0.7500, 0.7500)
Br (0.5000, 0.0000, 0.0000)
Br (0.5000, 0.5000, 0.5000)
Br (0.7500, 0.2500, 0.7500)
Br (0.7500, 0.7500, 0.2500)

***

Density functional theory data (meta-GGA SCAN) for PPdWS2 at its PBEsol-relaxed geometry.

The total energy is -25.90 eV per atom. The calculated volume is 98.1 Å³/cell. For the formation energy (no corrections), the calculation gives 0.527 eV per atom.

Cell lengths 4.5518, 4.5518, 4.7325 Å; angles 90.00, 90.00, 90.00 degrees
Atoms (fractional coordinates):
P (0.0000, 0.0000, 0.0000)
Pd (0.5000, 0.5000, 0.0000)
W (0.0000, 0.0000, 0.5000)
S (0.0000, 0.5000, 0.5000)
S (0.5000, 0.0000, 0.5000)

***

Density functional theory data (meta-GGA SCAN) for GaGeAs2Rh at its PBEsol-relaxed geometry.

The total energy is -21.03 eV per atom. The calculated volume is 104.8 Å³/cell. As for the energy of formation from the pure elements: 889.7 meV per atom.

Cell lengths 4.7967, 4.7967, 4.5539 Å; angles 90.00, 90.00, 90.00 degrees
Atoms (fractional coordinates):
Ga (0.0000, 0.0000, 0.0000)
Ge (0.5000, 0.5000, 0.5000)
As (0.0000, 0.5000, 0.0000)
As (0.5000, 0.0000, 0.0000)
Rh (0.0000, 0.0000, 0.5000)